Record 1
PBE-GGA SnHgB3, optimized geometry; magnetic moment = 0.000 μB/f.u.; total energy = -13.67 eV per formula unit; symmetry = Pm-3m (221); V = 88.8 Å³ per cell
1.0
-2.3385 3.3991 1.6996
-3.0676 -0.5104 -3.2000
-2.2432 -2.8455 2.6042
B Hg Sn
3 1 1
Cartesian
-1.5338 -0.2552 -1.6000
-1.1216 -1.4227 1.3021
-1.1693 1.6995 0.8498
0.0000 0.0000 0.0000
-3.8247 0.0216 0.5519

Record 2
PBE-GGA SnHgB3, optimized geometry; magnetic moment = 0.000 μB/f.u.; total energy = -13.91 eV per formula unit; symmetry = Pm-3m (221); V = 96.5 Å³ per cell
1.0
4.5873 0.0000 0.0000
0.0000 4.5873 0.0000
0.0000 0.0000 4.5873
B Hg Sn
3 1 1
Cartesian
0.0000 2.2937 0.0000
0.0000 0.0000 2.2937
2.2937 0.0000 0.0000
2.2937 2.2937 2.2937
0.0000 0.0000 0.0000

Energy of formation readings, ordered: 2.134; 2.086 eV/atom